Model one:
The following is a DFT calculation (PBE) of an optimized crystal structure of Ac2CeAu.

Properties
The magnetization is 2.00 μB/f.u.

```
data_Ac2CeAu
_space_group_name_H-M_alt 'R -3 m'
_space_group_IT_number 166
_space_group_name_Hall '-R 3 2"'
_cell_length_a 3.8737
_cell_length_b 3.8737
_cell_length_c 34.8473
_cell_angle_alpha 90.00
_cell_angle_beta 90.00
_cell_angle_gamma 120.00
loop_
_atom_site_label
_atom_site_fract_x
_atom_site_fract_y
_atom_site_fract_z
_atom_site_occupancy
Ac1 0.0000 0.0000 0.1018 1
Ce1 0.0000 0.0000 0.0000 1
Au1 0.0000 0.0000 0.5000 1
```


Model two:
The following is a DFT calculation (PBE) of an optimized crystal structure of Ac2CeAu.

Properties
The magnetization is 1.31 μB/f.u.

```
data_Ac2CeAu
_space_group_name_H-M_alt 'P 4/m m m'
_space_group_IT_number 123
_space_group_name_Hall '-P 4 2'
_cell_length_a 3.893
_cell_length_b 3.893
_cell_length_c 8.974
_cell_angle_alpha 90.00
_cell_angle_beta 90.00
_cell_angle_gamma 90.00
loop_
_atom_site_label
_atom_site_fract_x
_atom_site_fract_y
_atom_site_fract_z
_atom_site_occupancy
Ac1 0.000 0.000 0.214 1
Ce1 0.500 0.500 0.500 1
Au1 0.500 0.500 0.000 1
```


Verdict on stability: model one comes out at the bottom.


Model one:
The following is a DFT calculation (PBE) of an optimized crystal structure of AcLaCuAu.

Properties
The magnetization is 0.00 μB/f.u.

```
data_AcLaCuAu
_space_group_name_H-M_alt 'A m m 2'
_space_group_IT_number 38
_space_group_name_Hall 'A 2 -2'
_cell_length_a 4.778
_cell_length_b 4.177
_cell_length_c 11.333
_cell_angle_alpha 90.00
_cell_angle_beta 90.00
_cell_angle_gamma 90.00
loop_
_atom_site_label
_atom_site_fract_x
_atom_site_fract_y
_atom_site_fract_z
_atom_site_occupancy
Ac1 0.000 0.000 0.000 1
La1 0.500 0.000 0.722 1
Cu1 0.000 0.000 0.284 1
Au1 0.500 0.000 0.430 1
```


Model two:
The following is a DFT calculation (PBE) of an optimized crystal structure of AcLaCuAu.

Properties
The magnetization is 0.00 μB/f.u.

```
data_AcLaCuAu
_space_group_name_H-M_alt 'F -4 3 m'
_space_group_IT_number 216
_space_group_name_Hall 'F -4 2 3'
_cell_length_a 7.604
_cell_length_b 7.604
_cell_length_c 7.604
_cell_angle_alpha 90.00
_cell_angle_beta 90.00
_cell_angle_gamma 90.00
loop_
_atom_site_label
_atom_site_fract_x
_atom_site_fract_y
_atom_site_fract_z
_atom_site_occupancy
Ac1 0.000 0.000 0.000 1
La1 0.000 0.000 0.500 1
Cu1 0.250 0.250 0.250 1
Au1 0.250 0.250 0.750 1
```


Verdict on stability: model two comes out at the bottom.


Model one:
The following is a DFT calculation (PBE) of an optimized crystal structure of AcPrCuAu.

Properties
The magnetization is 0.00 μB/f.u.

```
data_AcPrCuAu
_space_group_name_H-M_alt 'A m m 2'
_space_group_IT_number 38
_space_group_name_Hall 'A 2 -2'
_cell_length_a 4.765
_cell_length_b 4.150
_cell_length_c 11.246
_cell_angle_alpha 90.00
_cell_angle_beta 90.00
_cell_angle_gamma 90.00
loop_
_atom_site_label
_atom_site_fract_x
_atom_site_fract_y
_atom_site_fract_z
_atom_site_occupancy
Ac1 0.000 0.000 0.000 1
Pr1 0.500 0.000 0.721 1
Cu1 0.000 0.000 0.283 1
Au1 0.500 0.000 0.429 1
```


Model two:
The following is a DFT calculation (PBE) of an optimized crystal structure of AcPrCuAu.

Properties
The magnetization is 0.00 μB/f.u.

```
data_AcPrCuAu
_space_group_name_H-M_alt 'F -4 3 m'
_space_group_IT_number 216
_space_group_name_Hall 'F -4 2 3'
_cell_length_a 7.569
_cell_length_b 7.569
_cell_length_c 7.569
_cell_angle_alpha 90.00
_cell_angle_beta 90.00
_cell_angle_gamma 90.00
loop_
_atom_site_label
_atom_site_fract_x
_atom_site_fract_y
_atom_site_fract_z
_atom_site_occupancy
Ac1 0.000 0.000 0.000 1
Pr1 0.000 0.000 0.500 1
Cu1 0.250 0.250 0.250 1
Au1 0.250 0.250 0.750 1
```


Verdict on stability: model two comes out at the bottom.


Model one:
The following is a DFT calculation (PBE) of an optimized crystal structure of AcSmCuAu.

Properties
The magnetization is 0.00 μB/f.u.

```
data_AcSmCuAu
_space_group_name_H-M_alt 'F -4 3 m'
_space_group_IT_number 216
_space_group_name_Hall 'F -4 2 3'
_cell_length_a 7.507
_cell_length_b 7.507
_cell_length_c 7.507
_cell_angle_alpha 90.00
_cell_angle_beta 90.00
_cell_angle_gamma 90.00
loop_
_atom_site_label
_atom_site_fract_x
_atom_site_fract_y
_atom_site_fract_z
_atom_site_occupancy
Ac1 0.000 0.000 0.000 1
Sm1 0.000 0.000 0.500 1
Cu1 0.250 0.250 0.250 1
Au1 0.250 0.250 0.750 1
```


Model two:
The following is a DFT calculation (PBE) of an optimized crystal structure of AcSmCuAu.

Properties
The magnetization is 0.00 μB/f.u.

```
data_AcSmCuAu
_space_group_name_H-M_alt 'A m m 2'
_space_group_IT_number 38
_space_group_name_Hall 'A 2 -2'
_cell_length_a 4.769
_cell_length_b 4.097
_cell_length_c 11.096
_cell_angle_alpha 90.00
_cell_angle_beta 90.00
_cell_angle_gamma 90.00
loop_
_atom_site_label
_atom_site_fract_x
_atom_site_fract_y
_atom_site_fract_z
_atom_site_occupancy
Ac1 0.000 0.000 0.000 1
Sm1 0.500 0.000 0.721 1
Cu1 0.000 0.000 0.280 1
Au1 0.500 0.000 0.428 1
```


Verdict on stability: model one comes out at the bottom.


Model one:
The following is a DFT calculation (PBE) of an optimized crystal structure of AcTbCuAu.

Properties
The magnetization is 0.00 μB/f.u.

```
data_AcTbCuAu
_space_group_name_H-M_alt 'A m m 2'
_space_group_IT_number 38
_space_group_name_Hall 'A 2 -2'
_cell_length_a 4.763
_cell_length_b 4.061
_cell_length_c 10.978
_cell_angle_alpha 90.00
_cell_angle_beta 90.00
_cell_angle_gamma 90.00
loop_
_atom_site_label
_atom_site_fract_x
_atom_site_fract_y
_atom_site_fract_z
_atom_site_occupancy
Ac1 0.000 0.000 0.000 1
Tb1 0.500 0.000 0.720 1
Cu1 0.000 0.000 0.278 1
Au1 0.500 0.000 0.426 1
```


Model two:
The following is a DFT calculation (PBE) of an optimized crystal structure of AcTbCuAu.

Properties
The magnetization is 0.00 μB/f.u.

```
data_AcTbCuAu
_space_group_name_H-M_alt 'F -4 3 m'
_space_group_IT_number 216
_space_group_name_Hall 'F -4 2 3'
_cell_length_a 7.456
_cell_length_b 7.456
_cell_length_c 7.456
_cell_angle_alpha 90.00
_cell_angle_beta 90.00
_cell_angle_gamma 90.00
loop_
_atom_site_label
_atom_site_fract_x
_atom_site_fract_y
_atom_site_fract_z
_atom_site_occupancy
Ac1 0.000 0.000 0.000 1
Tb1 0.000 0.000 0.500 1
Cu1 0.250 0.250 0.750 1
Au1 0.250 0.250 0.250 1
```


Verdict on stability: model two comes out at the bottom.


Model one:
The following is a DFT calculation (PBE) of an optimized crystal structure of AcDyAu.

Properties
The magnetization is 0.00 μB/f.u.

```
data_AcDyAu
_space_group_name_H-M_alt 'I 4/m m m'
_space_group_IT_number 139
_space_group_name_Hall '-I 4 2'
_cell_length_a 4.034
_cell_length_b 4.034
_cell_length_c 24.492
_cell_angle_alpha 90.00
_cell_angle_beta 90.00
_cell_angle_gamma 90.00
loop_
_atom_site_label
_atom_site_fract_x
_atom_site_fract_y
_atom_site_fract_z
_atom_site_occupancy
Ac1 0.000 0.000 0.193 1
Dy1 0.000 0.000 0.419 1
Au1 0.000 0.000 0.055 1
```


Model two:
The following is a DFT calculation (PBE) of an optimized crystal structure of AcDyAu.

Properties
The magnetization is 0.00 μB/f.u.

```
data_AcDyAu
_space_group_name_H-M_alt 'I m a 2'
_space_group_IT_number 46
_space_group_name_Hall 'I 2 -2a'
_cell_length_a 10.264
_cell_length_b 13.935
_cell_length_c 7.747
_cell_angle_alpha 90.00
_cell_angle_beta 90.00
_cell_angle_gamma 90.00
loop_
_atom_site_label
_atom_site_fract_x
_atom_site_fract_y
_atom_site_fract_z
_atom_site_occupancy
Ac1 0.250 0.000 0.000 1
Ac2 0.250 0.200 0.599 1
Ac3 0.250 0.701 0.099 1
Dy1 0.000 0.000 0.655 1
Dy2 0.000 0.129 0.262 1
Au1 0.000 0.169 0.888 1
Au2 0.250 0.000 0.409 1
```


Verdict on stability: model one comes out at the bottom.